LiHfS2N after structural relaxation. Source: the Alexandria database, functional PBE.

a = 5.0078 Å, b = 5.0078 Å, c = 4.1941 Å
α = 90.00°, β = 90.00°, γ = 90.00°
Sites, in units of the cell vectors:
1 Li 0.0000 0.0000 0.0000
2 Hf 0.5000 0.5000 0.5000
3 S 0.0000 0.5000 0.5000
4 S 0.5000 0.0000 0.5000
5 N 0.5000 0.5000 0.0000

Summary:
energy relative to the lowest polymorph listed for this composition = 0 meV per atom

***

LiHfS2N after structural relaxation. Source: the Alexandria database, functional PBE.

a = 4.4284 Å, b = 4.4284 Å, c = 3.5492 Å
α = 90.00°, β = 90.00°, γ = 90.00°
Sites, in units of the cell vectors:
1 Li 0.0000 0.0000 0.0000
2 Hf 0.5000 0.5000 0.5000
3 S 0.0000 0.5000 0.0000
4 S 0.5000 0.0000 0.0000
5 N 0.0000 0.0000 0.5000

Summary:
energy relative to the lowest polymorph listed for this composition = 780 meV per atom

***

Li2Hf2Sb2N after structural relaxation. Source: the Alexandria database, functional PBE.

a = 7.9896 Å, b = 7.9896 Å, c = 7.9896 Å
α = 148.26°, β = 148.26°, γ = 45.50°
Sites, in units of the cell vectors:
1 Li 0.1601 0.1601 0.0000
2 Li 0.8399 0.8399 0.0000
3 Hf 0.0000 0.5000 0.5000
4 Hf 0.5000 0.0000 0.5000
5 Sb 0.3561 0.3561 0.0000
6 Sb 0.6439 0.6439 0.0000
7 N 0.0000 0.0000 0.0000

***

LiHf2Sc3N6 after structural relaxation. Source: the Alexandria database, functional PBE.

a = 7.0711 Å, b = 7.0711 Å, c = 6.4104 Å
α = 103.13°, β = 103.13°, γ = 26.14°
Sites, in units of the cell vectors:
1 Li 0.0000 0.0000 0.0000
2 Hf 0.3407 0.3407 0.6790
3 Hf 0.6593 0.6593 0.3210
4 Sc 0.0000 0.0000 0.5000
5 Sc 0.3410 0.3410 0.1647
6 Sc 0.6590 0.6590 0.8353
7 N 0.1678 0.1678 0.5779
8 N 0.1708 0.1708 0.0930
9 N 0.4972 0.4972 0.7338
10 N 0.5028 0.5028 0.2662
11 N 0.8292 0.8292 0.9070
12 N 0.8322 0.8322 0.4221

***

LiHfSc2N after structural relaxation. Source: the Alexandria database, functional PBE.

a = 4.4869 Å, b = 4.4869 Å, c = 4.4052 Å
α = 90.00°, β = 90.00°, γ = 90.00°
Sites, in units of the cell vectors:
1 Li 0.0000 0.0000 0.0000
2 Hf 0.5000 0.5000 0.0000
3 Sc 0.0000 0.5000 0.5000
4 Sc 0.5000 0.0000 0.5000
5 N 0.5000 0.5000 0.5000

***

LiHfSe2N after structural relaxation. Source: the Alexandria database, functional PBE.

a = 5.2661 Å, b = 5.2661 Å, c = 4.1615 Å
α = 90.00°, β = 90.00°, γ = 90.00°
Sites, in units of the cell vectors:
1 Li 0.0000 0.0000 0.0000
2 Hf 0.5000 0.5000 0.5000
3 Se 0.0000 0.5000 0.5000
4 Se 0.5000 0.0000 0.5000
5 N 0.5000 0.5000 0.0000

Summary:
energy relative to the lowest polymorph listed for this composition = 0 meV per atom

***

LiHfSeN2 after structural relaxation. Source: the Alexandria database, functional PBE.

a = 3.8142 Å, b = 3.8142 Å, c = 4.2996 Å
α = 90.00°, β = 90.00°, γ = 90.00°
Sites, in units of the cell vectors:
1 Li 0.0000 0.0000 0.0000
2 Hf 0.5000 0.5000 0.5000
3 Se 0.0000 0.0000 0.5000
4 N 0.0000 0.5000 0.0000
5 N 0.5000 0.0000 0.0000

Summary:
energy relative to the lowest polymorph listed for this composition = 864 meV per atom

***

LiHfSe2N after structural relaxation. Source: the Alexandria database, functional PBE.

a = 4.6825 Å, b = 4.6825 Å, c = 3.5883 Å
α = 90.00°, β = 90.00°, γ = 90.00°
Sites, in units of the cell vectors:
1 Li 0.0000 0.0000 0.0000
2 Hf 0.5000 0.5000 0.5000
3 Se 0.0000 0.5000 0.0000
4 Se 0.5000 0.0000 0.0000
5 N 0.0000 0.0000 0.5000

Summary:
energy relative to the lowest polymorph listed for this composition = 806 meV per atom

***

LiHfSeN2 after structural relaxation. Source: the Alexandria database, functional PBE.

a = 4.2002 Å, b = 4.2002 Å, c = 5.3656 Å
α = 90.00°, β = 90.00°, γ = 90.00°
Sites, in units of the cell vectors:
1 Li 0.0000 0.0000 0.0000
2 Hf 0.5000 0.5000 0.5000
3 Se 0.5000 0.5000 0.0000
4 N 0.0000 0.5000 0.5000
5 N 0.5000 0.0000 0.5000

Summary:
energy relative to the lowest polymorph listed for this composition = 0 meV per atom

***

LiHfSeN2 after structural relaxation. Source: the Alexandria database, functional PBE.

a = 3.7076 Å, b = 3.7076 Å, c = 4.8916 Å
α = 90.00°, β = 90.00°, γ = 90.00°
Sites, in units of the cell vectors:
1 Li 0.0000 0.0000 0.0000
2 Hf 0.0000 0.0000 0.5000
3 Se 0.5000 0.5000 0.5000
4 N 0.0000 0.5000 0.0000
5 N 0.5000 0.0000 0.0000

Summary:
energy relative to the lowest polymorph listed for this composition = 1150 meV per atom

***

LiSmHf2N4 after structural relaxation. Source: the Alexandria database, functional PBE.

a = 5.5939 Å, b = 5.5939 Å, c = 11.0009 Å
α = 90.00°, β = 90.00°, γ = 146.05°
Sites, in units of the cell vectors:
1 Li 0.1589 0.8411 0.7500
2 Li 0.8411 0.1589 0.2500
3 Sm 0.1065 0.8935 0.2500
4 Sm 0.8935 0.1065 0.7500
5 Hf 0.3663 0.6337 0.0579
6 Hf 0.3663 0.6337 0.4421
7 Hf 0.6337 0.3663 0.5579
8 Hf 0.6337 0.3663 0.9421
9 N 0.0000 0.0000 0.0000
10 N 0.0000 0.0000 0.5000
11 N 0.2627 0.7373 0.6105
12 N 0.2627 0.7373 0.8895
13 N 0.4416 0.5584 0.2500
14 N 0.5584 0.4416 0.7500
15 N 0.7373 0.2627 0.1105
16 N 0.7373 0.2627 0.3895

***

LiHf2SnN after structural relaxation. Source: the Alexandria database, functional PBE.

a = 4.4183 Å, b = 4.4183 Å, c = 4.2460 Å
α = 90.00°, β = 90.00°, γ = 90.00°
Sites, in units of the cell vectors:
1 Li 0.0000 0.0000 0.0000
2 Hf 0.0000 0.5000 0.5000
3 Hf 0.5000 0.0000 0.5000
4 Sn 0.5000 0.5000 0.0000
5 N 0.0000 0.0000 0.5000

***

LiHfTa2N4 after structural relaxation. Source: the Alexandria database, functional PBE.

a = 5.3166 Å, b = 3.1103 Å, c = 5.4468 Å
α = 90.00°, β = 108.55°, γ = 90.00°
Sites, in units of the cell vectors:
1 Li 0.0000 0.0000 0.0000
2 Hf 0.5000 0.5000 0.0000
3 Ta 0.0000 0.5000 0.5000
4 Ta 0.5000 0.0000 0.5000
5 N 0.2432 0.0000 0.7503
6 N 0.2580 0.5000 0.2631
7 N 0.7420 0.5000 0.7369
8 N 0.7568 0.0000 0.2497

***

Li2HfTaN4 after structural relaxation. Source: the Alexandria database, functional PBE.

a = 6.3072 Å, b = 6.3072 Å, c = 6.3072 Å
α = 120.70°, β = 119.36°, γ = 89.95°
Sites, in units of the cell vectors:
1 Li 0.0000 0.0000 0.0000
2 Li 0.5000 0.0000 0.0000
3 Li 0.5000 0.0000 0.5000
4 Li 0.5000 0.5000 0.5000
5 Hf 0.0000 0.5000 0.5000
6 Hf 0.5000 0.5000 0.0000
7 Ta 0.0000 0.0000 0.5000
8 Ta 0.0000 0.5000 0.0000
9 N 0.2180 0.7437 0.4743
10 N 0.2306 0.2563 0.9743
11 N 0.2351 0.2499 0.5148
12 N 0.2351 0.7204 0.9852
13 N 0.7649 0.2796 0.0148
14 N 0.7649 0.7501 0.4852
15 N 0.7694 0.7437 0.0257
16 N 0.7820 0.2563 0.5257

***

LiHf3Ta3N8 after structural relaxation. Source: the Alexandria database, functional PBE.

a = 6.1953 Å, b = 6.1953 Å, c = 6.1953 Å
α = 60.04°, β = 60.04°, γ = 60.04°
Sites, in units of the cell vectors:
1 Li 0.0000 0.0000 0.0000
2 Hf 0.0000 0.5000 0.5000
3 Hf 0.5000 0.0000 0.5000
4 Hf 0.5000 0.5000 0.0000
5 Ta 0.0000 0.0000 0.5000
6 Ta 0.0000 0.5000 0.0000
7 Ta 0.5000 0.0000 0.0000
8 N 0.2392 0.7533 0.7533
9 N 0.2467 0.2467 0.7608
10 N 0.2467 0.7608 0.2467
11 N 0.2488 0.2488 0.2488
12 N 0.7512 0.7512 0.7512
13 N 0.7533 0.2392 0.7533
14 N 0.7533 0.7533 0.2392
15 N 0.7608 0.2467 0.2467

***

LiHf2Ta3N6 after structural relaxation. Source: the Alexandria database, functional PBE.

a = 7.0702 Å, b = 7.0702 Å, c = 6.2416 Å
α = 104.34°, β = 104.34°, γ = 25.61°
Sites, in units of the cell vectors:
1 Li 0.0000 0.0000 0.0000
2 Hf 0.3430 0.3430 0.6786
3 Hf 0.6570 0.6570 0.3214
4 Ta 0.0000 0.0000 0.5000
5 Ta 0.3457 0.3457 0.1819
6 Ta 0.6543 0.6543 0.8181
7 N 0.1700 0.1700 0.5822
8 N 0.1705 0.1705 0.0757
9 N 0.4998 0.4998 0.2437
10 N 0.5002 0.5002 0.7563
11 N 0.8295 0.8295 0.9243
12 N 0.8300 0.8300 0.4178

***

Li2Hf3TaN6 after structural relaxation. Source: the Alexandria database, functional PBE.

a = 5.4907 Å, b = 5.4907 Å, c = 5.3757 Å
α = 99.73°, β = 99.73°, γ = 119.90°
Sites, in units of the cell vectors:
1 Li 0.1637 0.8363 0.0000
2 Li 0.8363 0.1637 0.0000
3 Hf 0.0000 0.0000 0.5000
4 Hf 0.3286 0.6714 0.5000
5 Hf 0.6714 0.3286 0.5000
6 Ta 0.5000 0.5000 0.0000
7 N 0.0985 0.4146 0.7442
8 N 0.2709 0.2709 0.2557
9 N 0.4146 0.0985 0.7442
10 N 0.5854 0.9015 0.2558
11 N 0.7291 0.7291 0.7443
12 N 0.9015 0.5854 0.2558

***

LiHf2TaN4 after structural relaxation. Source: the Alexandria database, functional PBE.

a = 5.4457 Å, b = 5.4457 Å, c = 5.4457 Å
α = 132.24°, β = 132.24°, γ = 69.85°
Sites, in units of the cell vectors:
1 Li 0.0000 0.0000 0.0000
2 Hf 0.2500 0.7500 0.5000
3 Hf 0.7500 0.2500 0.5000
4 Ta 0.5000 0.5000 0.0000
5 N 0.0000 0.5000 0.5000
6 N 0.2535 0.2535 0.0000
7 N 0.5000 0.0000 0.5000
8 N 0.7465 0.7465 0.0000

***

LiTbHf2N4 after structural relaxation. Source: the Alexandria database, functional PBE.

a = 5.5548 Å, b = 5.5548 Å, c = 10.9600 Å
α = 90.00°, β = 90.00°, γ = 146.06°
Sites, in units of the cell vectors:
1 Li 0.1572 0.8428 0.7500
2 Li 0.8428 0.1572 0.2500
3 Tb 0.1071 0.8929 0.2500
4 Tb 0.8929 0.1071 0.7500
5 Hf 0.3666 0.6334 0.0584
6 Hf 0.3666 0.6334 0.4416
7 Hf 0.6334 0.3666 0.5584
8 Hf 0.6334 0.3666 0.9416
9 N 0.0000 0.0000 0.0000
10 N 0.0000 0.0000 0.5000
11 N 0.2638 0.7362 0.6121
12 N 0.2638 0.7362 0.8879
13 N 0.4460 0.5540 0.2500
14 N 0.5540 0.4460 0.7500
15 N 0.7362 0.2638 0.1121
16 N 0.7362 0.2638 0.3879

***

LiTb2Hf3N6 after structural relaxation. Source: the Alexandria database, functional PBE.

a = 7.3843 Å, b = 7.3843 Å, c = 6.6844 Å
α = 104.65°, β = 104.65°, γ = 25.67°
Sites, in units of the cell vectors:
1 Li 0.0000 0.0000 0.0000
2 Tb 0.3388 0.3388 0.6788
3 Tb 0.6612 0.6612 0.3212
4 Hf 0.0000 0.0000 0.5000
5 Hf 0.3390 0.3390 0.1649
6 Hf 0.6610 0.6610 0.8351
7 N 0.1614 0.1614 0.5962
8 N 0.1716 0.1716 0.0660
9 N 0.4930 0.4930 0.2722
10 N 0.5070 0.5070 0.7278
11 N 0.8284 0.8284 0.9340
12 N 0.8386 0.8386 0.4038

***

Li3Hf2TcN6 after structural relaxation. Source: the Alexandria database, functional PBE.

a = 5.4026 Å, b = 5.4026 Å, c = 5.3875 Å
α = 99.42°, β = 99.42°, γ = 120.05°
Sites, in units of the cell vectors:
1 Li 0.0000 0.0000 0.0000
2 Li 0.3454 0.6546 0.0000
3 Li 0.6546 0.3454 0.0000
4 Hf 0.1667 0.8333 0.5000
5 Hf 0.8333 0.1667 0.5000
6 Tc 0.5000 0.5000 0.5000
7 N 0.1118 0.4269 0.2789
8 N 0.2550 0.2550 0.7228
9 N 0.4269 0.1118 0.2789
10 N 0.5731 0.8882 0.7211
11 N 0.7450 0.7450 0.2772
12 N 0.8882 0.5731 0.7211

***

LiHfTe2N after structural relaxation. Source: the Alexandria database, functional PBE.

a = 5.8435 Å, b = 5.8435 Å, c = 3.9483 Å
α = 90.00°, β = 90.00°, γ = 90.00°
Sites, in units of the cell vectors:
1 Li 0.0000 0.0000 0.0000
2 Hf 0.5000 0.5000 0.5000
3 Te 0.0000 0.5000 0.5000
4 Te 0.5000 0.0000 0.5000
5 N 0.5000 0.5000 0.0000

Summary:
energy relative to the lowest polymorph listed for this composition = 0 meV per atom

***

LiHfTe2N after structural relaxation. Source: the Alexandria database, functional PBE.

a = 5.1473 Å, b = 5.1473 Å, c = 3.6316 Å
α = 90.00°, β = 90.00°, γ = 90.00°
Sites, in units of the cell vectors:
1 Li 0.0000 0.0000 0.0000
2 Hf 0.5000 0.5000 0.5000
3 Te 0.0000 0.5000 0.0000
4 Te 0.5000 0.0000 0.0000
5 N 0.0000 0.0000 0.5000

Summary:
energy relative to the lowest polymorph listed for this composition = 825 meV per atom

***

LiHf2TiN4 after structural relaxation. Source: the Alexandria database, functional PBE.

a = 5.2972 Å, b = 3.1550 Å, c = 5.4386 Å
α = 90.00°, β = 108.92°, γ = 90.00°
Sites, in units of the cell vectors:
1 Li 0.0000 0.0000 0.0000
2 Hf 0.5000 0.0000 0.5000
3 Hf 0.5000 0.5000 0.0000
4 Ti 0.0000 0.5000 0.5000
5 N 0.2461 0.0000 0.7451
6 N 0.2561 0.5000 0.2650
7 N 0.7439 0.5000 0.7350
8 N 0.7539 0.0000 0.2549

***

Number 1: E -31.15 eV/cell, ΔE_f (raw) -52.1 kJ/mol of atoms. Number 2: E -27.25 eV/cell, ΔE_f (raw) 23.1 kJ/mol of atoms. Number 3: E -46.22 eV/cell, ΔE_f (raw) -81.5 kJ/mol of atoms. Number 4: E -111.27 eV/cell, ΔE_f (raw) -164.9 kJ/mol of atoms. Number 5: E -35.85 eV/cell, ΔE_f (raw) -57.7 kJ/mol of atoms. Number 6: E -29.48 eV/cell, ΔE_f (raw) -44.7 kJ/mol of atoms. Number 7: E -27.98 eV/cell, ΔE_f (raw) 77.6 kJ/mol of atoms. Number 8: E -25.45 eV/cell, ΔE_f (raw) 33.1 kJ/mol of atoms. Number 9: E -32.30 eV/cell, ΔE_f (raw) -5.7 kJ/mol of atoms. Number 10: E -26.55 eV/cell, ΔE_f (raw) 105.2 kJ/mol of atoms. Number 11: E -144.38 eV/cell, ΔE_f (raw) -148.9 kJ/mol of atoms. Number 12: E -38.20 eV/cell, ΔE_f (raw) -78.1 kJ/mol of atoms. Number 13: E -79.12 eV/cell, ΔE_f (raw) -123.6 kJ/mol of atoms. Number 14: E -134.03 eV/cell, ΔE_f (raw) -97.4 kJ/mol of atoms. Number 15: E -153.94 eV/cell, ΔE_f (raw) -128.7 kJ/mol of atoms. Number 16: E -123.18 eV/cell, ΔE_f (raw) -127.5 kJ/mol of atoms. Number 17: E -112.80 eV/cell, ΔE_f (raw) -139.2 kJ/mol of atoms. Number 18: E -78.76 eV/cell, ΔE_f (raw) -142.1 kJ/mol of atoms. Number 19: E -144.55 eV/cell, ΔE_f (raw) -151.0 kJ/mol of atoms. Number 20: E -110.89 eV/cell, ΔE_f (raw) -160.0 kJ/mol of atoms. Number 21: E -95.03 eV/cell, ΔE_f (raw) -72.9 kJ/mol of atoms. Number 22: E -27.79 eV/cell, ΔE_f (raw) -25.3 kJ/mol of atoms. Number 23: E -23.67 eV/cell, ΔE_f (raw) 54.2 kJ/mol of atoms. Number 24: E -75.41 eV/cell, ΔE_f (raw) -149.5 kJ/mol of atoms.